# 1
Material: HPd3Pb
Method: DFT, PBE
State: optimized geometry

Output
As for the total magnetization: 0.00 μB/cell. For the excess energy over the best structure of this formula in the dataset, the calculation gives 198.4 meV per atom. The density is 10.5 Mg/m³.

Lattice parameters (Å, degrees): 16.147 2.972 7.036 90.00 98.99 90.00
Space group C2/m (No. 12)
Asymmetric unit:
H  0.126  0.000  0.326
Pd  0.056  0.500  0.173
Pd  0.178  0.500  0.480
Pd  0.209  0.000  0.141
Pb  0.112  0.500  0.813

# 2
Material: H6Pd4Pb
Method: DFT, PBE
State: optimized geometry

Output
The value obtained for the raw total energy is -3.981 eV/atom. As for the total magnetization: 0.00 μB/cell. The density is 9.3 Mg/m³.

Lattice parameters (Å, degrees): 8.006 7.262 4.991 90.00 128.33 90.00
Space group Cm (No. 8)
Asymmetric unit:
H  0.000  0.000  0.000
H  0.081  0.500  0.755
H  0.175  0.289  0.342
H  0.334  0.148  0.094
Pd  0.042  0.500  0.102
Pd  0.266  0.311  0.769
Pd  0.291  0.000  0.341
Pb  0.494  0.500  0.496

# 3
Material: HPdPb2
Method: DFT, PBE
State: optimized geometry

Output
As for the total magnetization: 0.00 μB/cell. For the excess energy over the best structure of this formula in the dataset, the calculation gives 64.7 meV per atom. The density is 9.2 Mg/m³.

Lattice parameters (Å, degrees): 5.401 5.401 12.899 90.00 90.00 90.00
Space group I-42d (No. 122)
Asymmetric unit:
H  0.000  0.000  0.000
Pd  0.000  0.000  0.500
Pb  0.182  0.250  0.125

# 4
Material: H12Pd5Pb3
Method: DFT, PBE
State: optimized geometry

Output
The value obtained for the raw total energy is -3.742 eV/atom. As for the total magnetization: 0.00 μB/cell. The density is 8.6 Mg/m³.

Lattice parameters (Å, degrees): 12.182 12.182 12.182 90.00 90.00 90.00
Space group Ia-3d (No. 230)
Asymmetric unit:
H  0.038  0.135  0.954
Pd  0.000  0.000  0.000
Pd  0.000  0.250  0.375
Pb  0.000  0.250  0.125